# GaCuPdO4

A relaxed structure of GaCuPdO4 (PBE-GGA, Alexandria via LeMat-Bulk).

a b c (Å): 6.0592 6.0592 6.0592
angles (deg): 120.89 119.12 90.00
Positions (direct):
Ga (0.5000, 0.0000, 0.0000)
Ga (0.5000, 0.5000, 0.5000)
Cu (0.1207, 0.3707, 0.7500)
Cu (0.8793, 0.6293, 0.2500)
Pd (0.0000, 0.0000, 0.0000)
Pd (0.5000, 0.0000, 0.5000)
O (0.2619, 0.2462, 0.4843)
O (0.2619, 0.7775, 0.0157)
O (0.2707, 0.2410, 0.0297)
O (0.2888, 0.7590, 0.5297)
O (0.7112, 0.2410, 0.4703)
O (0.7293, 0.7590, 0.9703)
O (0.7381, 0.2225, 0.9843)
O (0.7381, 0.7538, 0.5157)

## Properties
As for the symmetry: No. 74. The calculation puts the uncorrected formation energy at -945 meV/atom.

# POs3F

A relaxed structure of POs3F (PBE-GGA, Alexandria via LeMat-Bulk).

a b c (Å): 4.3916 4.3916 4.3916
angles (deg): 90.00 90.00 90.00
Positions (direct):
P (0.0000, 0.0000, 0.0000)
Os (0.0000, 0.0000, 0.5000)
Os (0.0000, 0.5000, 0.0000)
Os (0.5000, 0.0000, 0.0000)
F (0.5000, 0.5000, 0.5000)

## Properties
Its energy above the lowest structure with this stoichiometry is 0.000 eV per atom. As for the symmetry: No. 221. The calculation puts the uncorrected formation energy at 1289 meV/atom.

# CaMgOs

A relaxed structure of CaMgOs (PBE-GGA, Alexandria via LeMat-Bulk).

a b c (Å): 3.4737 3.4737 10.2771
angles (deg): 90.00 90.00 90.00
Positions (direct):
Ca (0.0000, 0.0000, 0.0000)
Ca (0.5000, 0.5000, 0.5000)
Mg (0.0000, 0.0000, 0.2835)
Mg (0.5000, 0.5000, 0.7835)
Os (0.0000, 0.0000, 0.6779)
Os (0.5000, 0.5000, 0.1779)

## Properties
As for the symmetry: No. 107. The energy of formation comes out at 0.382 eV per atom.

# Li3B8C8

A relaxed structure of Li3B8C8 (PBE-GGA, Alexandria via LeMat-Bulk).

a b c (Å): 5.3175 5.3175 8.7021
angles (deg): 116.80 116.80 61.58
Positions (direct):
Li (0.0000, 0.0000, 0.0000)
Li (0.2484, 0.7516, 0.5000)
Li (0.7516, 0.2484, 0.5000)
B (0.1812, 0.6805, 0.7283)
B (0.2015, 0.2015, 0.7677)
B (0.2995, 0.2995, 0.2321)
B (0.3195, 0.8188, 0.2717)
B (0.6805, 0.1812, 0.7283)
B (0.7005, 0.7005, 0.7679)
B (0.7985, 0.7985, 0.2323)
B (0.8188, 0.3195, 0.2717)
C (0.0101, 0.0101, 0.7253)
C (0.0305, 0.5306, 0.7667)
C (0.4694, 0.9695, 0.2333)
C (0.4891, 0.4891, 0.2724)
C (0.5109, 0.5109, 0.7276)
C (0.5306, 0.0305, 0.7667)
C (0.9695, 0.4694, 0.2333)
C (0.9899, 0.9899, 0.2747)

## Properties
Its energy above the lowest structure with this stoichiometry is 0.079 eV per atom. As for the symmetry: No. 12. The energy of formation comes out at 0.085 eV per atom.

# SnMo2Os

A relaxed structure of SnMo2Os (PBE-GGA, Alexandria via LeMat-Bulk).

a b c (Å): 7.4123 7.4123 5.4385
angles (deg): 90.00 90.00 90.00
Positions (direct):
Sn (0.0000, 0.0000, 0.0000)
Sn (0.0000, 0.5000, 0.2500)
Sn (0.5000, 0.0000, 0.7500)
Sn (0.5000, 0.5000, 0.5000)
Mo (0.2096, 0.2500, 0.6250)
Mo (0.2500, 0.7096, 0.8750)
Mo (0.2500, 0.7904, 0.3750)
Mo (0.2904, 0.2500, 0.1250)
Mo (0.7096, 0.7500, 0.1250)
Mo (0.7500, 0.2096, 0.3750)
Mo (0.7500, 0.2904, 0.8750)
Mo (0.7904, 0.7500, 0.6250)
Os (0.0000, 0.0000, 0.5000)
Os (0.0000, 0.5000, 0.7500)
Os (0.5000, 0.0000, 0.2500)
Os (0.5000, 0.5000, 0.0000)

## Properties
As for the symmetry: No. 122. The energy of formation comes out at 0.751 eV per atom.